1.
Computed, not measured: InReW3 after structural relaxation at the PBE level of DFT.

abc: 4.786 4.786 4.786
angles: 90.00 90.00 90.00
Sites, in units of the cell vectors:
1 Re 0.000 0.000 0.000
2 W 0.000 0.500 0.000
3 W 0.000 0.000 0.500
4 W 0.500 0.000 0.000
5 In 0.500 0.500 0.500

The value obtained for the size of the total moment is 0.00 μB per formula unit. The calculated volume comes out at 109.6 Å³/f.u. For the energy, the calculation gives -8.9447 eV/atom.



2.
Computed, not measured: InReW2 after structural relaxation at the PBE level of DFT.

abc: 3.306 4.486 4.509
angles: 90.00 90.00 90.00
Sites, in units of the cell vectors:
1 In 0.500 0.000 0.500
2 Re 0.000 0.500 0.500
3 W 0.000 0.000 0.000
4 W 0.500 0.500 0.000

The value obtained for the size of the total moment is 0.00 μB per formula unit. The calculated volume comes out at 66.9 Å³/f.u. For the energy, the calculation gives -9.7234 eV/atom.



3.
Computed, not measured: InReW2 after structural relaxation at the PBE level of DFT.

abc: 3.152 3.152 6.903
angles: 90.00 90.00 90.00
Sites, in units of the cell vectors:
1 In 0.000 0.000 0.505
2 Re 0.500 0.500 0.779
3 W 0.000 0.000 0.990
4 W 0.500 0.500 0.226

The value obtained for the size of the total moment is 0.00 μB per formula unit. The calculated volume comes out at 68.6 Å³/f.u. For the energy, the calculation gives -9.8341 eV/atom.



4.
Computed, not measured: InReW2 after structural relaxation at the PBE level of DFT.

abc: 4.986 4.986 4.986
angles: 132.04 132.04 70.16
Sites, in units of the cell vectors:
1 In 0.500 0.500 0.000
2 Re 0.750 0.250 0.500
3 W 0.000 0.000 0.000
4 W 0.250 0.750 0.500

The value obtained for the size of the total moment is 0.00 μB per formula unit. The calculated volume comes out at 67.0 Å³/f.u. For the energy, the calculation gives -9.7229 eV/atom.



5.
Computed, not measured: In3ReW after structural relaxation at the PBE level of DFT.

abc: 5.172 5.172 5.172
angles: 90.00 90.00 90.00
Site moments in Bohr magnetons follow the coordinates.
Sites, in units of the cell vectors:
1 Re 0.000 0.000 0.000  0.86
2 W 0.500 0.500 0.500  3.25
3 In 0.000 0.500 0.000  -0.05
4 In 0.000 0.000 0.500  -0.05
5 In 0.500 0.000 0.000  0.00

The value obtained for the size of the total moment is 5.31 μB per formula unit. The calculated volume comes out at 138.4 Å³/f.u. For the energy, the calculation gives -5.1003 eV/atom.



6.
Computed, not measured: YInRe2 after structural relaxation at the PBE level of DFT.

abc: 9.493 9.493 9.493
angles: 18.61 18.61 18.61
Sites, in units of the cell vectors:
1 In 0.750 0.750 0.750
2 Re 0.003 0.003 0.003
3 Re 0.497 0.497 0.497
4 Y 0.250 0.250 0.250

The value obtained for the size of the total moment is 0.00 μB per formula unit. The calculated volume comes out at 76.1 Å³/f.u. For the energy, the calculation gives -7.7610 eV/atom.



7.
Computed, not measured: YIn2Re after structural relaxation at the PBE level of DFT.

abc: 4.899 4.899 4.899
angles: 60.00 60.00 60.00
Sites, in units of the cell vectors:
1 Y 0.000 0.000 0.000
2 Re 0.500 0.500 0.500
3 In 0.250 0.250 0.250
4 In 0.750 0.750 0.750

The value obtained for the size of the total moment is 0.00 μB per formula unit. The calculated volume comes out at 83.1 Å³/f.u. For the energy, the calculation gives -5.9208 eV/atom.



8.
Computed, not measured: YIn2Re after structural relaxation at the PBE level of DFT.

abc: 5.228 5.228 5.115
angles: 72.25 72.25 41.59
Sites, in units of the cell vectors:
1 In 0.019 0.019 0.955
2 In 0.481 0.481 0.545
3 Re 0.750 0.750 0.750
4 Y 0.250 0.250 0.250

The value obtained for the size of the total moment is 0.00 μB per formula unit. The calculated volume comes out at 87.7 Å³/f.u. For the energy, the calculation gives -5.9890 eV/atom.



9.
Computed, not measured: Y4InRe after structural relaxation at the PBE level of DFT.

abc: 6.020 6.020 6.020
angles: 60.00 60.00 60.00
Site moments in Bohr magnetons follow the coordinates.
Sites, in units of the cell vectors:
1 Y 0.881 0.373 0.373  0.03
2 Y 0.373 0.373 0.881  0.03
3 Y 0.373 0.881 0.373  0.03
4 Y 0.373 0.373 0.373  0.03
5 In 0.750 0.750 0.750  0.00
6 Re 0.000 0.000 0.000  0.31

The value obtained for the size of the total moment is 0.52 μB per formula unit. The calculated volume comes out at 154.2 Å³/f.u. For the energy, the calculation gives -6.0744 eV/atom.



10.
Computed, not measured: Y2InRe after structural relaxation at the PBE level of DFT.

abc: 10.141 10.141 10.141
angles: 19.33 19.33 19.33
Sites, in units of the cell vectors:
1 In 0.488 0.488 0.488
2 Re 0.753 0.753 0.753
3 Y 0.017 0.017 0.017
4 Y 0.242 0.242 0.242

The value obtained for the size of the total moment is 0.00 μB per formula unit. The calculated volume comes out at 99.9 Å³/f.u. For the energy, the calculation gives -6.6379 eV/atom.



11.
Computed, not measured: Y2InRe after structural relaxation at the PBE level of DFT.

abc: 3.579 3.568 8.234
angles: 64.17 90.00 90.00
Sites, in units of the cell vectors:
1 In 0.500 0.250 0.250
2 Re 0.500 0.750 0.750
3 Y 0.000 0.033 0.968
4 Y 0.000 0.467 0.532

The value obtained for the size of the total moment is 0.00 μB per formula unit. The calculated volume comes out at 94.7 Å³/f.u. For the energy, the calculation gives -7.1210 eV/atom.



12.
Computed, not measured: Y2InRe after structural relaxation at the PBE level of DFT.

abc: 5.509 5.509 5.509
angles: 131.99 131.99 70.25
Sites, in units of the cell vectors:
1 In 0.500 0.500 0.000
2 Re 0.750 0.250 0.500
3 Y 0.000 0.000 0.000
4 Y 0.250 0.750 0.500

The value obtained for the size of the total moment is 0.00 μB per formula unit. The calculated volume comes out at 90.5 Å³/f.u. For the energy, the calculation gives -6.8906 eV/atom.



13.
Computed, not measured: Y2InRe after structural relaxation at the PBE level of DFT.

abc: 9.713 9.713 9.713
angles: 20.55 20.55 20.55
Sites, in units of the cell vectors:
1 In 0.250 0.250 0.250
2 Re 0.750 0.750 0.750
3 Y 0.011 0.011 0.011
4 Y 0.489 0.489 0.489

The value obtained for the size of the total moment is 0.00 μB per formula unit. The calculated volume comes out at 98.8 Å³/f.u. For the energy, the calculation gives -6.9037 eV/atom.



14.
Computed, not measured: YInRe2 after structural relaxation at the PBE level of DFT.

abc: 5.430 5.622 2.874
angles: 78.52 83.27 116.93
Sites, in units of the cell vectors:
1 In 0.500 0.500 0.000
2 Re 0.000 0.000 0.000
3 Re 0.500 0.000 0.500
4 Y 0.000 0.500 0.500

The value obtained for the size of the total moment is 0.00 μB per formula unit. The calculated volume comes out at 74.5 Å³/f.u. For the energy, the calculation gives -7.9950 eV/atom.



15.
Computed, not measured: YIn2Re after structural relaxation at the PBE level of DFT.

abc: 5.692 5.692 5.692
angles: 142.34 128.55 65.50
Sites, in units of the cell vectors:
1 In 0.978 0.978 0.000
2 In 0.522 0.522 0.000
3 Re 0.750 0.250 0.500
4 Y 0.250 0.750 0.500

The value obtained for the size of the total moment is 0.00 μB per formula unit. The calculated volume comes out at 86.9 Å³/f.u. For the energy, the calculation gives -5.9576 eV/atom.



16.
Computed, not measured: Y2InRe after structural relaxation at the PBE level of DFT.

abc: 3.632 3.632 7.348
angles: 90.00 90.00 90.00
Site moments in Bohr magnetons follow the coordinates.
Sites, in units of the cell vectors:
1 In 0.000 0.000 0.540  -0.01
2 Re 0.500 0.500 0.711  0.03
3 Y 0.000 0.000 0.951  0.14
4 Y 0.500 0.500 0.298  0.31

The value obtained for the size of the total moment is 0.94 μB per formula unit. The calculated volume comes out at 96.9 Å³/f.u. For the energy, the calculation gives -6.8275 eV/atom.



17.
Computed, not measured: Y2InRe after structural relaxation at the PBE level of DFT.

abc: 3.167 3.167 10.111
angles: 90.00 90.00 109.13
Sites, in units of the cell vectors:
1 In 0.000 0.000 0.533
2 Re 0.500 0.500 0.741
3 Y 0.000 0.000 0.954
4 Y 0.500 0.500 0.272

The value obtained for the size of the total moment is 0.00 μB per formula unit. The calculated volume comes out at 95.8 Å³/f.u. For the energy, the calculation gives -6.6465 eV/atom.



18.
Computed, not measured: YInRe2 after structural relaxation at the PBE level of DFT.

abc: 5.542 5.542 5.542
angles: 143.92 130.09 63.11
Sites, in units of the cell vectors:
1 In 0.750 0.250 0.500
2 Re 0.001 0.001 0.000
3 Re 0.499 0.499 0.000
4 Y 0.250 0.750 0.500

The value obtained for the size of the total moment is 0.00 μB per formula unit. The calculated volume comes out at 75.8 Å³/f.u. For the energy, the calculation gives -7.9728 eV/atom.



19.
Computed, not measured: YIn2Re after structural relaxation at the PBE level of DFT.

abc: 3.545 3.545 7.181
angles: 90.00 90.00 90.00
Sites, in units of the cell vectors:
1 In 0.000 0.000 0.033
2 In 0.500 0.500 0.286
3 Re 0.000 0.000 0.471
4 Y 0.500 0.500 0.710

The value obtained for the size of the total moment is 0.00 μB per formula unit. The calculated volume comes out at 90.2 Å³/f.u. For the energy, the calculation gives -5.8999 eV/atom.



20.
Computed, not measured: YInRe2 after structural relaxation at the PBE level of DFT.

abc: 4.737 4.737 4.737
angles: 120.12 120.12 89.79
Sites, in units of the cell vectors:
1 In 0.750 0.250 0.500
2 Re 0.000 0.000 0.000
3 Re 0.250 0.750 0.500
4 Y 0.500 0.500 0.000

The value obtained for the size of the total moment is 0.00 μB per formula unit. The calculated volume comes out at 75.0 Å³/f.u. For the energy, the calculation gives -8.0929 eV/atom.



21.
Computed, not measured: YIn2Re after structural relaxation at the PBE level of DFT.

abc: 6.164 5.634 3.018
angles: 83.95 72.72 117.87
Sites, in units of the cell vectors:
1 In 0.000 0.000 0.000
2 In 0.500 0.000 0.500
3 Re 0.000 0.500 0.500
4 Y 0.500 0.500 0.000

The value obtained for the size of the total moment is 0.00 μB per formula unit. The calculated volume comes out at 84.7 Å³/f.u. For the energy, the calculation gives -5.7487 eV/atom.



22.
Computed, not measured: YIn2Re after structural relaxation at the PBE level of DFT.

abc: 4.942 4.942 4.942
angles: 60.00 60.00 60.00
Sites, in units of the cell vectors:
1 In 0.000 0.000 0.000
2 In 0.250 0.250 0.250
3 Re 0.500 0.500 0.500
4 Y 0.750 0.750 0.750

The value obtained for the size of the total moment is 0.00 μB per formula unit. The calculated volume comes out at 85.4 Å³/f.u. For the energy, the calculation gives -5.7321 eV/atom.



23.
Computed, not measured: YInRe2 after structural relaxation at the PBE level of DFT.

abc: 7.821 7.821 6.180
angles: 50.75 50.75 90.00
Site moments in Bohr magnetons follow the coordinates.
Sites, in units of the cell vectors:
1 Y 0.500 0.500 0.000  -0.02
2 Y 0.250 0.750 0.500  -0.02
3 Re 0.651 0.125 0.250  0.46
4 Re 0.099 0.625 0.250  0.46
5 Re 0.375 0.349 0.750  0.46
6 Re 0.875 0.901 0.750  0.46
7 In 0.000 0.000 0.000  -0.01
8 In 0.750 0.250 0.500  -0.01

The value obtained for the size of the total moment is 0.99 μB per formula unit. The calculated volume comes out at 84.3 Å³/f.u. For the energy, the calculation gives -7.4158 eV/atom.



24.
Computed, not measured: YIn2Re after structural relaxation at the PBE level of DFT.

abc: 4.251 4.332 4.615
angles: 90.00 90.00 90.00
Site moments in Bohr magnetons follow the coordinates.
Sites, in units of the cell vectors:
1 In 0.000 0.000 0.000  0.00
2 In 0.500 0.500 0.000  0.00
3 Re 0.500 0.000 0.500  0.26
4 Y 0.000 0.500 0.500  -0.01

The value obtained for the size of the total moment is 0.28 μB per formula unit. The calculated volume comes out at 85.0 Å³/f.u. For the energy, the calculation gives -5.8934 eV/atom.



25.
Computed, not measured: YInRe2 after structural relaxation at the PBE level of DFT.

abc: 4.827 3.050 5.596
angles: 82.76 90.00 90.00
Sites, in units of the cell vectors:
1 In 0.500 0.750 0.750
2 Re 0.000 0.844 0.040
3 Re 0.000 0.656 0.460
4 Y 0.500 0.250 0.250

The value obtained for the size of the total moment is 0.00 μB per formula unit. The calculated volume comes out at 81.8 Å³/f.u. For the energy, the calculation gives -8.0504 eV/atom.



26.
Computed, not measured: YInRe2 after structural relaxation at the PBE level of DFT.

abc: 2.909 2.909 8.989
angles: 90.00 90.00 90.00
Sites, in units of the cell vectors:
1 In 0.500 0.500 0.750
2 Re 0.000 0.000 0.988
3 Re 0.000 0.000 0.512
4 Y 0.500 0.500 0.250

The value obtained for the size of the total moment is 0.00 μB per formula unit. The calculated volume comes out at 76.1 Å³/f.u. For the energy, the calculation gives -7.7982 eV/atom.



27.
Computed, not measured: YIn2Re after structural relaxation at the PBE level of DFT.

abc: 10.015 10.015 10.015
angles: 18.45 18.45 18.45
Sites, in units of the cell vectors:
1 In 0.990 0.990 0.990
2 In 0.510 0.510 0.510
3 Re 0.250 0.250 0.250
4 Y 0.750 0.750 0.750

The value obtained for the size of the total moment is 0.00 μB per formula unit. The calculated volume comes out at 87.9 Å³/f.u. For the energy, the calculation gives -5.7385 eV/atom.



28.
Computed, not measured: YIn4Re after structural relaxation at the PBE level of DFT.

abc: 5.791 5.791 5.791
angles: 60.00 60.00 60.00
Site moments in Bohr magnetons follow the coordinates.
Sites, in units of the cell vectors:
1 Y 0.000 0.000 0.000  -0.04
2 In 0.874 0.375 0.375  0.01
3 In 0.375 0.375 0.874  0.01
4 In 0.375 0.874 0.375  0.01
5 In 0.375 0.375 0.375  0.01
6 Re 0.750 0.750 0.750  1.19

The value obtained for the size of the total moment is 1.35 μB per formula unit. The calculated volume comes out at 137.3 Å³/f.u. For the energy, the calculation gives -4.4750 eV/atom.



29.
Computed, not measured: YInRe4 after structural relaxation at the PBE level of DFT.

abc: 5.357 5.357 5.357
angles: 60.00 60.00 60.00
Sites, in units of the cell vectors:
1 Y 0.750 0.750 0.750
2 In 0.000 0.000 0.000
3 Re 0.877 0.374 0.374
4 Re 0.374 0.374 0.877
5 Re 0.374 0.877 0.374
6 Re 0.374 0.374 0.374

The value obtained for the size of the total moment is 0.00 μB per formula unit. The calculated volume comes out at 108.7 Å³/f.u. For the energy, the calculation gives -9.7375 eV/atom.



30.
Computed, not measured: YIn2Re after structural relaxation at the PBE level of DFT.

abc: 4.834 3.073 5.937
angles: 76.96 90.00 90.00
Sites, in units of the cell vectors:
1 In 0.000 0.107 0.018
2 In 0.000 0.393 0.482
3 Re 0.500 0.250 0.250
4 Y 0.500 0.750 0.750

The value obtained for the size of the total moment is 0.00 μB per formula unit. The calculated volume comes out at 85.9 Å³/f.u. For the energy, the calculation gives -5.8915 eV/atom.